## NaMg8In4 (GGA-PBE)

Data for a relaxed structure of NaMg8In4.

Lattice parameters (Å, degrees): 4.438 4.386 17.264 90.00 90.00 90.00
Element x y z (fractional)
Na1 0.000 0.000 0.324
Mg1 0.000 0.000 0.506
Mg2 0.000 0.500 0.901
Mg3 0.500 0.500 0.034
Mg4 0.500 0.000 0.629
Mg5 0.000 0.500 0.168
Mg6 0.000 0.000 0.764
Mg7 0.500 0.000 0.170
Mg8 0.500 0.500 0.765
In1 0.000 0.000 0.036
In2 0.000 0.500 0.634
In3 0.500 0.500 0.479
In4 0.500 0.000 0.893

Results
**Formation energy**: -0.3 meV per atom

***

## NaMgIn (GGA-PBE)

Data for a relaxed structure of NaMgIn.

Lattice parameters (Å, degrees): 4.967 3.251 10.061 98.98 90.00 90.00
Element x y z (fractional)
Na1 0.917 0.112 0.265
Na2 0.417 0.518 0.091
Mg1 0.917 0.917 0.891
Mg2 0.417 0.716 0.466
In1 0.417 0.359 0.772
In2 0.917 0.275 0.585

Results
**Formation energy**: -8.1 meV per atom

***

## Na2Mg3In4 (GGA-PBE)

Data for a relaxed structure of Na2Mg3In4.

Lattice parameters (Å, degrees): 4.655 5.615 9.834 73.31 90.39 65.28
Element x y z (fractional)
Na1 0.323 0.353 0.778
Na2 0.677 0.647 0.222
Mg1 0.341 0.320 0.437
Mg2 0.000 0.000 0.000
Mg3 0.659 0.680 0.563
In1 0.656 0.686 0.886
In2 0.022 0.958 0.345
In3 0.978 0.042 0.655
In4 0.344 0.314 0.114

Results
**Formation energy**: -70.8 meV per atom